AgSb2Pt2 after structural relaxation, computed with PBEsol.

Properties
The calculated density is 11.7 Mg/m³. For the density of states at the Fermi level, the calculation gives 2.31 states/eV per cell. Its spin magnetization is 0.0000 μB/atom. The calculated total energy comes out at -5.300 eV/atom.

Lattice parameters (Å, degrees): 3.8212 3.8212 7.7052 104.36 104.36 90.00
Closest atoms and distances in Å follow each position.
Fractional coordinates of all 5 atoms:
Sb 0.3836 0.3836 0.7672  4 Pt 2.71
Sb 0.6164 0.6164 0.2328  4 Pt 2.71
Ag 0.0000 0.0000 0.0000  8 Sb 3.18
Pt 0.2500 0.7500 0.5000  4 Pt 2.70, 4 Sb 2.71
Pt 0.7500 0.2500 0.5000  4 Pt 2.70, 4 Sb 2.71